VASP calculation (PBE) on AuF3 after structural relaxation.

The formation energy without anion corrections comes out at -216.8 meV/atom.

POSCAR file:
```
AuF3
1.0
1.644 -1.209 6.353
3.328 -3.711 4.436
4.715 -0.429 4.701
Au F
1 3
direct
0.500 0.500 0.500 Au
0.000 0.000 0.000 F
0.876 0.876 0.876 F
0.124 0.124 0.124 F
```

---

VASP calculation (PBE) on AuF3 after structural relaxation.

The formation energy without anion corrections comes out at -234.6 meV/atom.

POSCAR file:
```
AuF3
1.0
0.011 -3.718 -1.416
-2.503 -1.025 -2.917
1.396 -0.734 -3.653
Au F
1 3
direct
0.500 0.500 0.500 Au
0.250 0.250 0.250 F
0.750 0.750 0.750 F
0.000 0.000 0.000 F
```

---

VASP calculation (PBE) on Au6F after structural relaxation.

The formation energy without anion corrections comes out at 533.2 meV/atom.

POSCAR file:
```
Au6F
1.0
-4.965 2.507 3.369
0.891 -6.201 1.743
5.401 3.399 1.247
Au F
6 1
direct
0.250 0.750 0.500 Au
0.500 0.750 0.250 Au
0.250 0.500 0.750 Au
0.750 0.250 0.500 Au
0.500 0.250 0.750 Au
0.750 0.500 0.250 Au
0.000 0.000 0.000 F
```

---

VASP calculation (PBE) on AuF2 after structural relaxation.

The formation energy without anion corrections comes out at -766.7 meV/atom.

POSCAR file:
```
AuF2
1.0
-0.607 3.636 -1.870
-2.210 1.452 3.542
4.138 1.928 1.791
Au F
2 4
direct
0.669 0.750 0.895 Au
0.331 0.250 0.105 Au
0.011 0.750 0.169 F
0.662 0.250 0.374 F
0.338 0.750 0.626 F
0.989 0.250 0.831 F
```

---

VASP calculation (PBE) on AuF after structural relaxation.

The formation energy without anion corrections comes out at -547.5 meV/atom.

POSCAR file:
```
AuF
1.0
-2.145 -0.884 -1.804
2.203 -3.480 -0.912
-2.315 -2.509 3.982
Au F
2 2
direct
0.250 0.500 0.250 Au
0.750 0.500 0.750 Au
0.250 0.000 0.250 F
0.750 0.000 0.750 F
```

---

VASP calculation (PBE) on Au5F after structural relaxation.

The formation energy without anion corrections comes out at -124.2 meV/atom.

POSCAR file:
```
Au5F
1.0
4.042 0.000 0.000
0.000 4.362 0.000
0.000 -2.181 5.843
Au F
5 1
direct
0.500 0.839 0.677 Au
0.000 0.666 0.331 Au
0.500 0.500 0.000 Au
0.000 0.334 0.669 Au
0.500 0.161 0.323 Au
0.000 0.000 0.000 F
```

---

VASP calculation (PBE) on AuF after structural relaxation.

The formation energy without anion corrections comes out at -379.8 meV/atom.

POSCAR file:
```
AuF
1.0
8.700 0.000 0.000
-4.350 7.535 0.000
0.000 0.000 3.027
Au F
6 6
direct
0.911 0.220 0.250 Au
0.691 0.911 0.750 Au
0.780 0.691 0.250 Au
0.089 0.780 0.750 Au
0.309 0.089 0.250 Au
0.220 0.309 0.750 Au
0.638 0.129 0.250 F
0.509 0.638 0.750 F
0.871 0.509 0.250 F
0.362 0.871 0.750 F
0.491 0.362 0.250 F
0.129 0.491 0.750 F
```

---

VASP calculation (PBE) on AuF3 after structural relaxation.

The formation energy without anion corrections comes out at -992.5 meV/atom.

POSCAR file:
```
AuF3
1.0
-0.383 -4.463 -2.800
3.804 3.494 -1.106
10.085 -7.588 10.716
Au F
6 18
direct
0.756 0.513 0.750 Au
0.244 0.756 0.917 Au
0.513 0.756 0.583 Au
0.487 0.244 0.083 Au
0.756 0.244 0.417 Au
0.244 0.487 0.250 Au
0.785 0.471 0.163 F
0.529 0.314 0.496 F
0.686 0.215 0.829 F
0.314 0.785 0.329 F
0.215 0.686 0.504 F
0.215 0.529 0.663 F
0.170 0.000 0.000 F
0.170 0.170 0.167 F
0.000 0.830 0.833 F
0.000 0.170 0.333 F
0.830 0.830 0.667 F
0.830 0.000 0.500 F
0.785 0.314 0.004 F
0.471 0.785 0.171 F
0.314 0.529 0.837 F
0.686 0.471 0.337 F
0.529 0.215 0.671 F
0.471 0.686 0.996 F
```

---

VASP calculation (PBE) on AuF after structural relaxation.

The formation energy without anion corrections comes out at -539.2 meV/atom.

POSCAR file:
```
AuF
1.0
-0.358 6.838 -0.019
-5.498 -0.288 -0.032
-0.042 0.018 7.159
Au F
8 8
direct
0.299 0.250 0.749 Au
0.799 0.250 0.751 Au
0.701 0.750 0.251 Au
0.201 0.750 0.249 Au
0.044 0.250 0.456 Au
0.544 0.250 0.044 Au
0.956 0.750 0.544 Au
0.456 0.750 0.956 Au
0.291 0.250 0.256 F
0.791 0.250 0.244 F
0.709 0.750 0.744 F
0.209 0.750 0.756 F
0.049 0.250 0.914 F
0.549 0.250 0.586 F
0.951 0.750 0.086 F
0.451 0.750 0.414 F
```

---

VASP calculation (PBE) on AuF after structural relaxation.

The formation energy without anion corrections comes out at -448.9 meV/atom.

POSCAR file:
```
AuF
1.0
7.889 0.000 0.000
0.000 9.149 0.000
0.000 0.000 7.389
Au F
16 16
direct
0.000 0.000 0.188 Au
0.000 0.000 0.812 Au
0.250 0.750 0.062 Au
0.250 0.750 0.438 Au
0.000 0.500 0.688 Au
0.000 0.500 0.312 Au
0.250 0.250 0.562 Au
0.250 0.250 0.938 Au
0.500 0.000 0.688 Au
0.500 0.000 0.312 Au
0.750 0.750 0.562 Au
0.750 0.750 0.938 Au
0.500 0.500 0.188 Au
0.500 0.500 0.812 Au
0.750 0.250 0.062 Au
0.750 0.250 0.438 Au
0.000 0.338 0.000 F
0.000 0.662 0.000 F
0.250 0.412 0.250 F
0.250 0.088 0.250 F
0.000 0.838 0.500 F
0.000 0.162 0.500 F
0.250 0.912 0.750 F
0.250 0.588 0.750 F
0.500 0.338 0.500 F
0.500 0.662 0.500 F
0.750 0.412 0.750 F
0.750 0.088 0.750 F
0.500 0.838 0.000 F
0.500 0.162 0.000 F
0.750 0.912 0.250 F
0.750 0.588 0.250 F
```

---

Repeat the fourth record exactly.
VASP calculation (PBE) on AuF2 after structural relaxation.

The formation energy without anion corrections comes out at -766.7 meV/atom.

POSCAR file:
```
AuF2
1.0
-0.607 3.636 -1.870
-2.210 1.452 3.542
4.138 1.928 1.791
Au F
2 4
direct
0.669 0.750 0.895 Au
0.331 0.250 0.105 Au
0.011 0.750 0.169 F
0.662 0.250 0.374 F
0.338 0.750 0.626 F
0.989 0.250 0.831 F
```